Record 1
A plane-wave DFT calculation with PBE was carried out for a geometry-optimized Er3SbRu structure.

Values from the calculation:
ΔE_f (raw) in eV per atom: -0.535
Fermi-level density of states in states/eV/cell: 19.70

a b c (Å): 13.149 10.704 7.504
angles (deg): 90.00 90.00 90.00
Space group Cmce (No. 64)
Unique sites:
Er  0.000  0.068  0.202 (multiplicity 8)
Er  0.137  0.172  0.593 (multiplicity 16)
Sb  0.250  0.081  0.250 (multiplicity 8)
Ru  0.000  0.199  0.876 (multiplicity 8)



Record 2
A plane-wave DFT calculation with PBE was carried out for a geometry-optimized TlReP structure.

Values from the calculation:
ΔH_f (0 K) in kJ per mole of atoms: 30.68
Fermi-level density of states in states/eV/cell: 4.65

a b c (Å): 3.161 3.161 10.875
angles (deg): 90.00 90.00 90.00
Space group I4mm (No. 107)
Unique sites:
Tl  0.000  0.000  0.000 (multiplicity 2)
Re  0.000  0.000  0.705 (multiplicity 2)
P  0.000  0.000  0.293 (multiplicity 2)



Record 3
A plane-wave DFT calculation with PBE was carried out for a geometry-optimized RbCdWAu2 structure.

Values from the calculation:
ΔH_f (0 K) in kJ per mole of atoms: 109.25
Fermi-level density of states in states/eV/cell: 4.41

a b c (Å): 5.139 5.139 6.587
angles (deg): 90.00 90.00 90.00
Space group P4/mmm (No. 123)
Unique sites:
Rb  0.000  0.000  0.000 (multiplicity 1)
Cd  0.500  0.500  0.000 (multiplicity 1)
W  0.000  0.000  0.500 (multiplicity 1)
Au  0.000  0.500  0.500 (multiplicity 2)



Record 4
A plane-wave DFT calculation with PBE was carried out for a geometry-optimized TbBeCo structure.

Values from the calculation:
ΔH_f (0 K) in kJ per mole of atoms: -21.06
Fermi-level density of states in states/eV/cell: 3.19

a b c (Å): 3.975 3.975 6.369
angles (deg): 90.00 90.00 90.00
Space group P4/nmm (No. 129, origin choice 2)
Unique sites:
Tb  0.250  0.250  0.193 (multiplicity 2)
Be  0.250  0.250  0.650 (multiplicity 2)
Co  0.250  0.750  0.500 (multiplicity 2)



Record 5
A plane-wave DFT calculation with PBE was carried out for a geometry-optimized CeU2CrC4 structure.

Values from the calculation:
ΔH_f (0 K) in kJ per mole of atoms: -7.56
Fermi-level density of states in states/eV/cell: 46.35

a b c (Å): 3.584 11.189 11.646
angles (deg): 90.00 90.00 90.00
Space group Cmcm (No. 63)
Unique sites:
Ce  0.000  0.108  0.250 (multiplicity 4)
U  0.000  0.372  0.048 (multiplicity 8)
Cr  0.000  0.152  0.750 (multiplicity 4)
C  0.000  0.000  0.000 (multiplicity 4)
C  0.000  0.255  0.621 (multiplicity 8)
C  0.000  0.427  0.250 (multiplicity 4)



Record 6
A plane-wave DFT calculation with PBE was carried out for a geometry-optimized BiSbPtO6 structure.

Values from the calculation:
ΔE_f (raw) in eV per atom: -1.102

a b c (Å): 5.3446 5.3446 10.0140
angles (deg): 90.00 90.00 120.00
Space group P-31c (No. 163)
Unique sites:
Bi  0.0000  0.0000  0.0000 (multiplicity 2)
Sb  0.3333  0.6667  0.2500 (multiplicity 2)
Pt  0.3333  0.6667  0.7500 (multiplicity 2)
O  0.0013  0.3644  0.1396 (multiplicity 12)



Record 7
A plane-wave DFT calculation with PBE was carried out for a geometry-optimized Ca6As3H structure.

Values from the calculation:
Electronic total energy in Ha/atom: -0.1404
Fermi-level density of states in states/eV/cell: 19.16

a b c (Å): 11.460 14.211 6.884
angles (deg): 90.00 90.00 90.00
Space group Cmc2_1 (No. 36)
Unique sites:
Ca  0.000  0.044  0.000 (multiplicity 4)
Ca  0.000  0.221  0.507 (multiplicity 4)
Ca  0.159  0.268  0.017 (multiplicity 8)
Ca  0.163  0.476  0.523 (multiplicity 8)
As  0.000  0.391  0.238 (multiplicity 4)
As  0.177  0.107  0.305 (multiplicity 8)
H  0.000  0.194  0.860 (multiplicity 4)



Record 8
A plane-wave DFT calculation with PBE was carried out for a geometry-optimized Ac2LaH6 structure.

Values from the calculation:
Electronic total energy in Ha/atom: -0.1581
Fermi-level density of states in states/eV/cell: 5.24

a b c (Å): 4.095 5.825 12.264
angles (deg): 90.00 90.00 90.00
Space group Immm (No. 71)
Unique sites:
Ac  0.000  0.000  0.165 (multiplicity 4)
La  0.000  0.000  0.500 (multiplicity 2)
H  0.000  0.243  0.337 (multiplicity 8)
H  0.000  0.265  0.000 (multiplicity 4)